A.
Below is a relaxed GaSi2S crystal, with properties calculated at the PBE level.

abc: 6.246 4.492 5.997
angles: 90.00 103.45 90.00
Sites, in units of the cell vectors:
Ga1 0.000 0.000 0.000
Ga2 0.500 0.500 0.000
Si1 0.025 0.500 0.499
Si2 0.413 0.500 0.578
Si3 0.525 0.000 0.499
Si4 0.913 0.000 0.578
S1 0.412 0.000 0.115
S2 0.912 0.500 0.115

Output
size of the total moment: 0.00 μB per formula unit

B.
Below is a relaxed GaSi2S crystal, with properties calculated at the PBE level.

abc: 3.951 4.062 5.855
angles: 89.93 89.97 63.81
Sites, in units of the cell vectors:
Ga1 0.000 0.000 0.000
Si1 0.000 0.998 0.578
Si2 0.662 0.650 0.499
S1 0.661 0.642 0.117

Output
size of the total moment: 0.00 μB per formula unit

C.
Below is a relaxed GaSi2S crystal, with properties calculated at the PBE level.

abc: 3.205 4.385 5.908
angles: 111.01 103.15 93.05
Sites, in units of the cell vectors:
Ga1 0.000 0.000 0.000
Si1 0.139 0.384 0.452
Si2 0.340 0.469 0.893
S1 0.660 0.729 0.447

Output
size of the total moment: 0.00 μB per formula unit

D.
Below is a relaxed GaSi2S crystal, with properties calculated at the PBE level.

abc: 3.119 3.119 17.077
angles: 90.00 90.00 90.00
Sites, in units of the cell vectors:
Ga1 0.000 0.000 0.000
Ga2 0.500 0.500 0.500
Si1 0.000 0.000 0.598
Si2 0.000 0.000 0.736
Si3 0.500 0.500 0.098
Si4 0.500 0.500 0.236
S1 0.000 0.000 0.286
S2 0.500 0.500 0.786

Output
size of the total moment: 0.00 μB per formula unit

Which is most stable? The ranking, best first, is B, A, C, D.